Sr3Tb2NdTe6: relaxed, GGA-PBE.

The magnetization comes out at 0.000 μB per atom. Its density of states at the Fermi level is 0.44 states/eV per atom. The value obtained for the formation energy from raw total energies is -1.52 eV/atom. For the energy, the calculation gives -56.2 eV per cell. Its space group is No. 12.

abc: 10.2686 10.2686 9.2113
angles: 104.53 104.53 25.40
Fractional positions:
1 Sr 0.0000 0.0000 0.0000
2 Sr 0.3352 0.3352 0.6685
3 Sr 0.6648 0.6648 0.3315
4 Tb 0.3359 0.3359 0.1729
5 Tb 0.6641 0.6641 0.8271
6 Nd 0.0000 0.0000 0.5000
7 Te 0.1661 0.1661 0.5935
8 Te 0.1720 0.1720 0.0706
9 Te 0.4958 0.4958 0.2519
10 Te 0.5042 0.5042 0.7481
11 Te 0.8280 0.8280 0.9294
12 Te 0.8339 0.8339 0.4065